1.
The following is a DFT calculation (PBE-GGA) of a geometry-optimized CuSnPt structure.

Structure (extended XYZ):
```
3
Lattice="3.0561 0.0000 0.0000 0.0000 4.3954 0.0000 0.0000 -2.1977 3.8065" Properties=species:S:1:pos:R:3 pbc="T T T"
Cu 3.0388 0.0000 0.0000
Pt 1.0356 0.0000 2.5377
Sn 2.0379 2.1977 1.2688
```

Computed properties:
The value obtained for the total DFT energy (no corrections) is -4.80 eV per atom. The value obtained for the calculated volume is 17.0 Å³ per atom. Its energy of formation from the pure elements is -0.084 eV/atom.

=====

2.
The following is a DFT calculation (PBE-GGA) of a geometry-optimized MoHN2 structure.

Structure (extended XYZ):
```
4
Lattice="1.6454 0.0000 5.2318 -0.8227 1.4250 5.2318 -0.8227 -1.4250 5.2318" Properties=species:S:1:pos:R:3 pbc="T T T"
Mo 0.0000 0.0000 0.0000
H 0.0000 0.0000 7.8476
N 0.0000 0.0000 13.7974
N 0.0000 0.0000 1.8979
```

Computed properties:
The value obtained for the total DFT energy (no corrections) is -6.00 eV per atom. The value obtained for the calculated volume is 9.2 Å³ per atom.

=====

3.
The following is a DFT calculation (PBE-GGA) of a geometry-optimized Pu3Al structure.

Structure (extended XYZ):
```
4
Lattice="-0.5424 2.3071 0.1739 -2.5219 -0.9738 5.0526 5.8592 0.1756 -0.2912" Properties=species:S:1:pos:R:3 pbc="T T T"
Al -0.1158 -0.0447 0.2320
Pu -1.6392 0.6253 2.8278
Pu 1.5762 0.1671 2.6981
Pu 2.2822 1.7524 0.1065
```

Computed properties:
The value obtained for the total DFT energy (no corrections) is -11.41 eV per atom. The value obtained for the calculated volume is 17.0 Å³ per atom. Its energy of formation from the pure elements is 0.271 eV/atom.

=====

4.
The following is a DFT calculation (PBE-GGA) of a geometry-optimized Sr2InGaH structure.

Structure (extended XYZ):
```
5
Lattice="5.4629 0.0000 0.0000 0.0000 5.4629 0.0000 0.0000 0.0000 4.2574" Properties=species:S:1:pos:R:3 pbc="T T T"
Ga 0.0000 0.0000 2.1287
H 0.0000 0.0000 0.0000
Sr 2.7314 0.0000 0.0000
Sr 0.0000 2.7314 0.0000
In 2.7314 2.7314 2.1287
```

Computed properties:
The value obtained for the total DFT energy (no corrections) is -2.82 eV per atom. The value obtained for the calculated volume is 25.4 Å³ per atom.

=====

5.
The following is a DFT calculation (PBE-GGA) of a geometry-optimized Pm2Pr5Sm3 structure.

Structure (extended XYZ):
```
20
Lattice="-8.2062 -6.0308 -0.5743 0.9341 -8.8993 4.9092 0.8841 10.6159 4.0681" Properties=species:S:1:pos:R:3 pbc="T T T"
Pr -7.4135 -3.0819 2.4215
Pr -4.0515 -8.8427 4.9107
Sm 0.7541 -4.4445 4.8348
Pr -1.7115 -5.8120 2.5987
Pr -2.3366 4.5285 3.4922
Pr -3.5336 0.1891 3.2143
Sm -6.2612 -4.4012 -0.1894
Sm -5.2964 -5.8978 2.8988
Sm -7.1422 0.1303 3.5681
Pr -4.6766 1.4978 5.8042
Pm -2.5136 -1.2960 6.3586
Pm -0.6514 -7.3430 5.6522
Pr 1.0254 -1.2323 5.9814
Pr -0.4752 -1.5175 2.7875
Pr -2.8545 -4.5033 5.1886
Pm -5.7367 3.0288 2.7507
Pm -3.8745 -3.0181 2.0442
Sm -1.0917 1.5837 5.5041
Sm -0.1269 0.0870 8.5922
Pr -5.9129 -2.7967 5.6154
```

Computed properties:
The value obtained for the total DFT energy (no corrections) is -4.59 eV per atom. The value obtained for the calculated volume is 35.6 Å³ per atom. Its energy of formation from the pure elements is 0.170 eV/atom.

=====

6.
The following is a DFT calculation (PBE-GGA) of a geometry-optimized KBaTa2 structure.

Structure (extended XYZ):
```
4
Lattice="6.7479 -0.0015 0.0000 4.1647 5.3094 0.0000 -5.4563 -2.6539 2.9529" Properties=species:S:1:pos:R:3 pbc="T T T"
K 3.3740 -0.0008 1.4765
Ta 5.4563 2.6539 0.0000
Ta 0.0000 0.0000 0.0000
Ba 2.0824 2.6547 1.4765
```

Computed properties:
The value obtained for the total DFT energy (no corrections) is -5.20 eV per atom. The value obtained for the calculated volume is 26.5 Å³ per atom. Its energy of formation from the pure elements is 1.485 eV/atom.

=====

7.
The following is a DFT calculation (PBE-GGA) of a geometry-optimized NaSi2Bi2 structure.

Structure (extended XYZ):
```
5
Lattice="-5.2528 -1.2083 1.2066 1.6696 -4.4528 2.8095 -1.5091 -0.4355 5.6360" Properties=species:S:1:pos:R:3 pbc="T T T"
Na 0.0000 0.0000 0.0000
Si -3.3783 -3.9239 6.6476
Bi -0.8156 -3.8594 5.2268
Si -1.7140 -2.1727 3.0046
Bi -4.2768 -2.2371 4.4254
```

Computed properties:
The formation energy from raw total energies comes out at 187 meV/atom. The value obtained for the total DFT energy (no corrections) is -3.80 eV per atom. The value obtained for the calculated volume is 26.6 Å³ per atom.

=====

8.
The following is a DFT calculation (PBE-GGA) of a geometry-optimized Rb2GdBr4 structure.

Structure (extended XYZ):
```
7
Lattice="5.7514 0.0000 0.0000 0.0000 5.7514 0.0000 2.8757 2.8757 8.8379" Properties=species:S:1:pos:R:3 pbc="T T T"
Rb 2.8757 2.8757 2.5030
Rb 5.7514 5.7514 6.3348
Br 2.8757 2.8757 5.9208
Br 2.8757 0.0000 0.0000
Br 0.0000 2.8757 0.0000
Br 5.7514 5.7514 2.9171
Gd 0.0000 0.0000 0.0000
```

Computed properties:
The formation energy from raw total energies comes out at -1652 meV/atom. The value obtained for the total DFT energy (no corrections) is -4.90 eV per atom. The value obtained for the calculated volume is 41.8 Å³ per atom.

=====

9.
The following is a DFT calculation (PBE-GGA) of a geometry-optimized BaAc2La3Te6 structure.

Structure (extended XYZ):
```
12
Lattice="-1.6201 4.1908 1.2489 -4.4397 0.7586 -8.3050 -6.1334 -6.5781 5.4100" Properties=species:S:1:pos:R:3 pbc="T T T"
Ac -8.3519 -0.3711 -0.8827
Te -8.9156 -2.1852 4.4737
La -3.0299 2.4747 -3.5280
La -5.9740 -0.8509 -4.8942
Te -3.2777 0.5566 -6.1197
Te -6.5032 -2.7059 0.6435
Ac -3.8413 -1.2575 -0.7634
Ba -0.8101 2.0954 0.6245
La -6.2193 -0.7777 3.2482
Te -3.5458 0.6166 2.0379
Te -5.6900 1.0773 -2.2896
Te -8.6475 -2.2452 -3.6840
```

Computed properties:
The formation energy from raw total energies comes out at -1578 meV/atom. The value obtained for the total DFT energy (no corrections) is -5.23 eV per atom. The value obtained for the calculated volume is 36.5 Å³ per atom.

=====

10.
The following is a DFT calculation (PBE-GGA) of a geometry-optimized Na4CdSn2 structure.

Structure (extended XYZ):
```
7
Lattice="5.3058 0.0000 0.0000 2.6529 4.5950 0.0000 2.6529 1.5317 9.8370" Properties=species:S:1:pos:R:3 pbc="T T T"
Na 7.9587 4.5950 3.3423
Cd 5.3058 3.0633 4.9185
Sn 5.3058 3.0633 7.6609
Na 2.6529 1.5317 6.4947
Na 7.9587 4.5950 8.7533
Na 2.6529 1.5317 1.0837
Sn 5.3058 3.0633 2.1761
```

Computed properties:
The value obtained for the total DFT energy (no corrections) is -2.07 eV per atom. The value obtained for the calculated volume is 34.3 Å³ per atom. Its energy of formation from the pure elements is -0.042 eV/atom.

=====

11.
The following is a DFT calculation (PBE-GGA) of a geometry-optimized Te2MoRu structure.

Structure (extended XYZ):
```
4
Lattice="-1.0146 -3.6617 3.9742 5.3167 -0.7648 -1.1746 1.6598 0.8382 2.5127" Properties=species:S:1:pos:R:3 pbc="T T T"
Te 2.1510 -2.2133 1.3998
Ru 3.4883 0.0367 0.6691
Mo 0.3226 -1.4118 3.2434
Te 0.0000 0.0000 0.0000
```

Computed properties:
The formation energy from raw total energies comes out at 776 meV/atom. The value obtained for the total DFT energy (no corrections) is -5.82 eV per atom. The value obtained for the calculated volume is 19.9 Å³ per atom.

=====

12.
The following is a DFT calculation (PBE-GGA) of a geometry-optimized K2PSe4 structure.

Structure (extended XYZ):
```
14
Lattice="-6.7370 0.7878 -2.0895 -0.9322 -5.9531 0.7612 -1.0854 1.6439 11.5263" Properties=species:S:1:pos:R:3 pbc="T T T"
K -2.3480 -0.5680 4.7967
K -6.4066 -2.9533 5.4013
Se -1.6668 -3.8563 4.1447
Se -2.3985 -4.1958 0.5937
Se -4.6514 -4.3959 7.9405
P -3.2103 -3.8142 2.5836
Se -4.1032 0.8746 2.2576
Se -4.5523 -1.9931 2.6243
Se -4.2024 -1.5283 7.5738
K -2.8676 0.2252 10.3634
Se -6.3562 0.6744 9.6044
Se -7.0878 0.3349 6.0533
P -5.5444 0.2928 7.6144
K -5.8870 -3.7465 -0.1653
```

Computed properties:
The formation energy from raw total energies comes out at -653 meV/atom. The value obtained for the total DFT energy (no corrections) is -3.73 eV per atom. The value obtained for the calculated volume is 35.4 Å³ per atom.